The following is a PBE calculation of a geometry-optimized Pm4Ru6O19 structure, from the Alexandria database.

Properties
The electronic total energy comes out at -0.2795 hartree per atom. The uncorrected formation energy is -51.67 eV per formula unit. The spin magnetization comes out at 7.5 μB per formula unit.

a b c (Å): 7.7295 7.7295 7.7295
angles (deg): 109.47 109.47 109.47
With the nearest neighbours (Å) after each atom.
Fractional positions:
O  0.6786  0.6786  0.0000  2 Ru 2.01
O  0.0000  0.3214  0.3214  2 Ru 2.01
O  0.9456  0.7024  0.3221  2 Ru 1.98
O  0.3221  0.9456  0.7024  2 Ru 1.98
O  0.2976  0.2432  0.6197  2 Ru 1.98
O  0.0544  0.3765  0.7568  2 Ru 1.98
O  0.3765  0.7568  0.0544  2 Ru 1.98
O  0.3803  0.6235  0.6779  2 Ru 1.98
O  0.0000  0.6786  0.6786  2 Ru 2.01
O  0.3214  0.0000  0.3214  2 Ru 2.01
O  0.2432  0.6197  0.2976  2 Ru 1.98
O  0.6786  0.0000  0.6786  2 Ru 2.01
O  0.3214  0.3214  0.0000  2 Ru 2.01
O  0.6779  0.3803  0.6235  2 Ru 1.98
O  0.0000  0.0000  0.0000  4 Pm 2.46
O  0.6235  0.6779  0.3803  2 Ru 1.98
O  0.6197  0.2976  0.2432  2 Ru 1.98
O  0.7568  0.0544  0.3765  2 Ru 1.98
O  0.7024  0.3221  0.9456  2 Ru 1.98
Pm  0.0000  0.0000  0.6819  10 O 2.46-2.74
Pm  0.0000  0.6819  0.0000  10 O 2.46-2.74
Pm  0.3181  0.3181  0.3181  10 O 2.46-2.74
Pm  0.6819  0.0000  0.0000  10 O 2.46-2.74
Ru  0.3620  0.5000  0.8620  6 O 1.98-2.01
Ru  0.8620  0.3620  0.5000  6 O 1.98-2.01
Ru  0.5000  0.8620  0.3620  6 O 1.98-2.01
Ru  0.5000  0.1380  0.6380  6 O 1.98-2.01
Ru  0.1380  0.6380  0.5000  6 O 1.98-2.01
Ru  0.6380  0.5000  0.1380  6 O 1.98-2.01

The following is a PBE calculation of a geometry-optimized Tb7Sm2In structure, from the Alexandria database.

Properties
The electronic total energy comes out at -0.1432 hartree per atom. As for the formation energy from the elements: 5.6 eV/f.u. The spin magnetization comes out at 0.0 μB per formula unit.

a b c (Å): 5.3203 9.2463 9.2463
angles (deg): 124.08 90.00 90.00
With the nearest neighbours (Å) after each atom.
Fractional positions:
Tb  0.5000  0.0715  0.2811  2 Tb 3.06-3.29, 1 Sm 3.27
Tb  0.5000  0.5000  0.5000  4 Tb 3.29, 2 Sm 3.39
Tb  0.0000  0.2034  0.7966  2 Sm 3.03, 1 In 3.32
Tb  0.5000  0.2811  0.0715  2 Tb 3.06-3.29, 1 Sm 3.27
Tb  0.0000  0.7966  0.2034  2 Sm 3.03, 1 In 3.32
Tb  0.5000  0.9285  0.7189  2 Tb 3.06-3.29, 1 Sm 3.27
Tb  0.5000  0.7189  0.9285  2 Tb 3.06-3.29, 1 Sm 3.27
Sm  0.5000  0.2925  0.7075  5 Tb 3.03-3.39
Sm  0.5000  0.7075  0.2925  5 Tb 3.03-3.39
In  0.0000  0.0000  0.0000  10 Tb 3.32-3.51

The following is a PBE calculation of a geometry-optimized TcH2Os2 structure, from the Alexandria database.

Properties
The electronic total energy comes out at -0.2786 hartree per atom. The spin magnetization comes out at 0.0 μB per formula unit.

a b c (Å): 2.8439 2.8439 6.4393
angles (deg): 77.24 77.24 90.00
With the nearest neighbours (Å) after each atom.
Fractional positions:
H  0.2500  0.7500  0.5000  4 Os 1.90, 4 H 2.01
H  0.7500  0.2500  0.5000  4 Os 1.90, 4 H 2.01
Os  0.6474  0.6474  0.7052  4 H 1.90
Os  0.3526  0.3526  0.2948  4 H 1.90
Tc  0.0000  0.0000  0.0000  8 Os 2.70, 4 Tc 2.84

The following is a PBE calculation of a geometry-optimized NaPt2Au structure, from the Alexandria database.

Properties
The electronic total energy comes out at -0.1492 hartree per atom. As for the formation energy from the elements: 0.4 eV/f.u. The spin magnetization comes out at 0.0 μB per formula unit.

a b c (Å): 4.5806 4.5806 4.5806
angles (deg): 60.00 60.00 60.00
With the nearest neighbours (Å) after each atom.
Fractional positions:
Na  0.0000  0.0000  0.0000  8 Pt 2.81
Au  0.5000  0.5000  0.5000  8 Pt 2.81
Pt  0.7500  0.7500  0.7500  4 Na 2.81, 4 Au 2.81
Pt  0.2500  0.2500  0.2500  4 Na 2.81, 4 Au 2.81

The following is a PBE calculation of a geometry-optimized Sr2AlS3 structure, from the Alexandria database.

Properties
The electronic total energy comes out at -0.1759 hartree per atom. The uncorrected formation energy is -9.23 eV per formula unit. The spin magnetization comes out at 0.0 μB per formula unit.

a b c (Å): 4.0485 4.6835 8.2970
angles (deg): 106.39 104.12 90.00
With the nearest neighbours (Å) after each atom.
Fractional positions:
S  0.1581  0.1581  0.3163  1 Al 2.43
S  0.0000  0.5000  0.0000  2 Al 2.34
S  0.8419  0.8419  0.6837  1 Al 2.43
Sr  0.6459  0.6459  0.2917  7 S 3.02-3.10
Sr  0.3541  0.3541  0.7083  7 S 3.02-3.10
Al  0.0000  0.0000  0.0000  4 S 2.34-2.43

The following is a PBE calculation of a geometry-optimized ZnSbPt2 structure, from the Alexandria database.

Properties
The electronic total energy comes out at -0.1702 hartree per atom. The uncorrected formation energy is -1.05 eV per formula unit. The spin magnetization comes out at 0.0 μB per formula unit.

a b c (Å): 5.1622 5.1622 5.1494
angles (deg): 134.71 134.73 66.18
With the nearest neighbours (Å) after each atom.
Fractional positions:
Sb  0.5027  0.5027  0.0000  8 Pt 2.80-2.97, 4 Zn 2.93-2.94
Pt  0.9969  0.9969  0.0000  4 Sb 2.80-2.82, 4 Zn 2.90-2.97, 4 Pt 2.93-2.94
Pt  0.7479  0.2479  0.5000  4 Zn 2.80-2.82, 4 Sb 2.91-2.97, 4 Pt 2.93-2.94
Zn  0.2524  0.7524  0.5000  8 Pt 2.80-2.97, 4 Sb 2.93-2.94

The following is a PBE calculation of a geometry-optimized Ba2Mn2N structure, from the Alexandria database.

Properties
The electronic total energy comes out at -0.2025 hartree per atom. The uncorrected formation energy is 2.97 eV per formula unit. The spin magnetization comes out at 7.0 μB per formula unit.

a b c (Å): 6.4443 6.4443 5.6951
angles (deg): 55.54 55.54 90.00
With the nearest neighbours (Å) after each atom.
Fractional positions:
Ba  0.7500  0.2500  0.5000  4 Mn 3.22, 2 Ba 3.42
Ba  0.2500  0.7500  0.5000  4 Mn 3.22, 2 Ba 3.42
Mn  0.7308  0.7308  0.5384  1 N 1.84
Mn  0.2692  0.2692  0.4616  1 N 1.84
N  0.0000  0.0000  0.0000  2 Mn 1.84

The following is a PBE calculation of a geometry-optimized TlSiGe3 structure, from the Alexandria database.

Properties
The electronic total energy comes out at -0.1093 hartree per atom. The uncorrected formation energy is 6.77 eV per formula unit. The spin magnetization comes out at 0.0 μB per formula unit.

a b c (Å): 5.3094 5.3094 5.3094
angles (deg): 90.00 90.00 90.00
With the nearest neighbours (Å) after each atom.
Fractional positions:
Ge  0.0000  0.0000  0.5000  2 Tl 2.65
Ge  0.0000  0.5000  0.0000  2 Tl 2.65
Ge  0.5000  0.0000  0.0000  2 Tl 2.65
Si  0.5000  0.5000  0.5000  12 Ge 3.75
Tl  0.0000  0.0000  0.0000  6 Ge 2.65

The following is a PBE calculation of a geometry-optimized CaSmHo structure, from the Alexandria database.

Properties
The electronic total energy comes out at -0.1361 hartree per atom. As for the formation energy from the elements: 0.2 eV/f.u. The spin magnetization comes out at 0.0 μB per formula unit.

a b c (Å): 3.6392 3.6392 9.1138
angles (deg): 90.00 90.00 120.00
With the nearest neighbours (Å) after each atom.
Fractional positions:
Sm  0.3333  0.6667  0.6504  3 Ho 3.48, 6 Sm 3.64, 3 Ca 3.84
Ca  0.0000  0.0000  0.0035  6 Ca 3.64, 3 Ho 3.76, 3 Sm 3.84
Ho  0.6667  0.3333  0.3460  3 Sm 3.48, 6 Ho 3.64, 3 Ca 3.76

The following is a PBE calculation of a geometry-optimized TcSb3S structure, from the Alexandria database.

Properties
The electronic total energy comes out at -0.1578 hartree per atom. The uncorrected formation energy is 5.40 eV per formula unit. The spin magnetization comes out at 2.3 μB per formula unit.

a b c (Å): 5.1128 5.1128 5.1128
angles (deg): 90.00 90.00 90.00
With the nearest neighbours (Å) after each atom.
Fractional positions:
Sb  0.0000  0.0000  0.5000  2 S 2.56
Sb  0.5000  0.0000  0.0000  2 S 2.56
Sb  0.0000  0.5000  0.0000  2 S 2.56
Tc  0.5000  0.5000  0.5000  12 Sb 3.62
S  0.0000  0.0000  0.0000  6 Sb 2.56